Below is an optimized crystal structure of ZrFe2Pt, with properties calculated at the GGA-PBE level.

```
4
Lattice="-3.005 -2.731 1.712 1.919 -2.005 0.169 1.840 0.932 4.716" Properties=species:S:1:pos:R:3 pbc="T T T"
Fe 0.047 -0.040 0.019
Fe 1.833 -0.497 2.424
Zr 1.317 -2.170 4.520
Pt -0.563 -1.634 2.077
```

Summary:
DFT formation energy	-0.11	eV/atom
SG	No. 10

---

Below is an optimized crystal structure of NpPaNiIr, with properties calculated at the GGA-PBE level.

```
4
Lattice="-1.036 -2.499 -3.740 -1.990 -4.138 0.468 -4.408 -0.593 -1.231" Properties=species:S:1:pos:R:3 pbc="T T T"
Ir -5.576 -5.422 -3.378
Ni -3.717 -3.614 -2.252
Np -1.859 -1.807 -1.126
Pa 0.000 0.000 0.000
```

Summary:
DFT formation energy	-0.44	eV/atom
SG	No. 216

---

Below is an optimized crystal structure of Pm3Si3Rh2, with properties calculated at the GGA-PBE level.

```
16
Lattice="4.246 0.000 0.000 -2.123 5.485 0.000 0.000 0.000 14.084" Properties=species:S:1:pos:R:3 pbc="T T T"
Pm 0.000 0.866 12.473
Si 2.123 1.262 6.470
Si 0.000 3.621 3.521
Rh 0.000 2.382 1.073
Rh 0.000 2.382 5.969
Pm 0.000 0.866 8.653
Pm 0.000 3.933 10.563
Rh 2.123 3.103 8.115
Si 0.000 4.224 7.613
Si 2.123 1.865 10.563
Rh 2.123 3.103 13.011
Si 2.123 1.262 0.572
Pm 2.123 1.552 3.521
Pm 2.123 4.619 5.431
Pm 2.123 4.619 1.611
Si 0.000 4.224 13.512
```

Summary:
energy relative to the elements, uncorrected	-0.91	eV/atom
SG	No. 63
offset from the most stable computed form	0.00	eV per formula unit

---

Below is an optimized crystal structure of Pm4CoHg2, with properties calculated at the GGA-PBE level.

```
7
Lattice="-1.536 3.262 -1.677 -5.905 -1.472 2.547 5.425 3.209 5.986" Properties=species:S:1:pos:R:3 pbc="T T T"
Co 0.000 0.000 0.000
Pm -3.548 -0.174 2.912
Pm -0.620 2.802 6.018
Pm 1.531 5.173 3.945
Hg 0.943 2.092 3.205
Pm -1.397 2.197 0.839
Hg -2.960 2.907 3.652
```

Summary:
DFT formation energy	-0.23	eV/atom
SG	No. 12
offset from the most stable computed form	0.00	eV per formula unit

---

Below is an optimized crystal structure of NdMgCdSn, with properties calculated at the GGA-PBE level.

```
4
Lattice="4.504 0.000 0.000 0.000 4.629 0.000 0.000 0.000 4.890" Properties=species:S:1:pos:R:3 pbc="T T T"
Nd 2.252 0.000 2.445
Sn 0.000 2.314 2.445
Cd 0.000 0.000 0.000
Mg 2.252 2.314 0.000
```

Summary:
DFT formation energy	-0.46	eV/atom
SG	No. 47
offset from the most stable computed form	0.00	eV per formula unit

---

Below is an optimized crystal structure of LiAc2PPb, with properties calculated at the GGA-PBE level.

```
10
Lattice="-2.152 -3.220 -2.479 -0.929 -4.335 6.436 -7.345 5.269 -0.469" Properties=species:S:1:pos:R:3 pbc="T T T"
Ac -6.860 -2.856 3.267
P -7.428 -0.086 4.427
Ac -2.563 -5.541 3.025
Ac -7.863 3.256 0.464
Pb -7.018 -0.160 -0.097
Li -4.304 -2.800 0.976
Li -6.122 0.515 2.512
Pb -3.407 -2.125 3.585
P -2.997 -2.199 -0.938
Ac -3.566 0.571 0.221
```

Summary:
DFT formation energy	-0.81	eV/atom
SG	No. 11

---

Below is an optimized crystal structure of SnSbP, with properties calculated at the GGA-PBE level.

```
6
Lattice="-3.435 0.061 2.559 2.522 -2.970 4.387 1.903 4.066 5.653" Properties=species:S:1:pos:R:3 pbc="T T T"
Sb -0.929 -0.637 4.649
Sb 1.920 1.794 7.951
Sn -1.795 1.733 6.685
P 0.425 3.155 6.325
P 0.566 -1.998 6.274
Sn 2.786 -0.576 5.914
```

Summary:
energy relative to the elements, uncorrected	0.07	eV/atom
SG	No. 2
offset from the most stable computed form	0.03	eV per formula unit

---

Below is an optimized crystal structure of Tm2AuSe, with properties calculated at the GGA-PBE level.

```
4
Lattice="-1.246 1.442 3.372 -2.280 -2.131 2.294 4.925 -3.038 5.344" Properties=species:S:1:pos:R:3 pbc="T T T"
Se 0.732 -1.878 5.523
Au 2.550 -3.486 9.107
Tm 3.431 -2.351 4.498
Tm 0.311 -0.914 2.731
```

Summary:
energy relative to the elements, uncorrected	-1.19	eV/atom
SG	No. 160
offset from the most stable computed form	0.47	eV per formula unit

---

Number 1: total magnetic moment 5.18 Bohr magnetons per cell, VASP energy -32.0 eV per formula unit, volume 15.5 Å³/atom. Number 2: total magnetic moment 3.19 Bohr magnetons per cell, VASP energy -38.8 eV per formula unit, volume 17.4 Å³/atom. Number 3: total magnetic moment 0.00 Bohr magnetons per cell, VASP energy -52.5 eV per formula unit, volume 20.5 Å³/atom. Number 4: total magnetic moment 0.00 Bohr magnetons per cell, VASP energy -28.3 eV per formula unit, volume 29.3 Å³/atom. Number 5: total magnetic moment 0.00 Bohr magnetons per cell, VASP energy -13.1 eV per formula unit, volume 25.5 Å³/atom. Number 6: total magnetic moment 0.00 Bohr magnetons per cell, VASP energy -23.3 eV per formula unit, volume 31.3 Å³/atom. Number 7: total magnetic moment 0.00 Bohr magnetons per cell, VASP energy -13.3 eV per formula unit, volume 26.6 Å³/atom. Number 8: total magnetic moment 0.00 Bohr magnetons per cell, VASP energy -20.5 eV per formula unit, volume 24.5 Å³/atom.